PmTh4Sc, optimized geometry, DFT PBE-GGA; N(E_F) = 7.69 states/eV per cell; formation energy = 41 meV/atom; density = 9.89 g cm⁻³; crystal system = tetragonal
1.0
3.566 0.000 0.000
0.000 3.566 0.000
0.000 0.000 14.760
Pm Th Sc
1 4 1
direct
0.000 0.000 0.000 Pm
0.000 0.000 0.344 Th
0.000 0.000 0.656 Th
0.500 0.500 0.178 Th
0.500 0.500 0.822 Th
0.500 0.500 0.500 Sc